The following is a PBE-GGA calculation of a relaxed structure of ZrGaSi2Ge, from Alexandria.

Output
Formation energy from raw total energies in eV per atom: 0.6160
N(E_F) in states/eV per cell: 1.76
Symmetry: P4/mmm

Unit cell a=5.110 b=5.110 c=5.190 alpha=90.00 beta=90.00 gamma=90.00
Fractional positions:
Zr  0.000  0.000  0.000
Ga  0.500  0.500  0.500
Si  0.000  0.500  0.000
Si  0.500  0.000  0.000
Ge  0.000  0.000  0.500


The following is a PBE-GGA calculation of a relaxed structure of SmGa2Ge, from Alexandria.

Output
ΔE to the lowest computed polymorph in eV/f.u.: 0.00
N(E_F) in states/eV per cell: 1.77
Symmetry: P4/mmm

Unit cell a=4.286 b=4.286 c=4.472 alpha=90.00 beta=90.00 gamma=90.00
Fractional positions:
Sm  0.000  0.000  0.000
Ga  0.000  0.500  0.500
Ga  0.500  0.000  0.500
Ge  0.500  0.500  0.000


The following is a PBE-GGA calculation of a relaxed structure of Sm3Ga2Ge3, from Alexandria.

Output
ΔE to the lowest computed polymorph in eV/f.u.: 0.00
N(E_F) in states/eV per cell: 9.91
Symmetry: Cmcm

Unit cell a=5.998 b=5.998 c=14.999 alpha=90.00 beta=90.00 gamma=138.72
Fractional positions:
Sm  0.061  0.939  0.613
Sm  0.061  0.939  0.887
Sm  0.345  0.655  0.750
Sm  0.655  0.345  0.250
Sm  0.939  0.061  0.113
Sm  0.939  0.061  0.387
Ga  0.224  0.776  0.108
Ga  0.224  0.776  0.392
Ga  0.776  0.224  0.608
Ga  0.776  0.224  0.892
Ge  0.379  0.621  0.250
Ge  0.381  0.619  0.538
Ge  0.381  0.619  0.962
Ge  0.619  0.381  0.038
Ge  0.619  0.381  0.462
Ge  0.621  0.379  0.750


The following is a PBE-GGA calculation of a relaxed structure of Sm2Ga2Ge, from Alexandria.

Output
ΔE to the lowest computed polymorph in eV/f.u.: 0.16
N(E_F) in states/eV per cell: 2.43
Symmetry: Amm2

Unit cell a=4.131 b=7.316 c=7.316 alpha=31.75 beta=90.00 gamma=90.00
Fractional positions:
Sm  0.000  0.000  0.000
Sm  0.000  0.253  0.253
Ga  0.500  0.630  0.630
Ga  0.500  0.823  0.823
Ge  0.500  0.431  0.431


The following is a PBE-GGA calculation of a relaxed structure of Sm2Ga3Ge, from Alexandria.

Output
VASP energy in eV/atom: -4.555
N(E_F) in states/eV per cell: 1.68
Symmetry: Pmm2

Unit cell a=4.201 b=4.235 c=7.332 alpha=90.00 beta=90.00 gamma=90.00
Fractional positions:
Sm  0.000  0.000  0.000
Sm  0.000  0.500  0.493
Ga  0.500  0.000  0.668
Ga  0.500  0.500  0.158
Ga  0.500  0.500  0.827
Ge  0.500  0.000  0.333


The following is a PBE-GGA calculation of a relaxed structure of Sm5GaGe2, from Alexandria.

Output
ΔE to the lowest computed polymorph in eV/f.u.: 0.00
N(E_F) in states/eV per cell: 13.00
Symmetry: I4/mcm

Unit cell a=8.969 b=8.969 c=8.969 alpha=128.31 beta=128.31 gamma=76.12
Fractional positions:
Sm  0.000  0.000  0.000
Sm  0.028  0.528  0.844
Sm  0.183  0.028  0.500
Sm  0.317  0.817  0.844
Sm  0.472  0.317  0.500
Sm  0.500  0.500  0.000
Sm  0.528  0.683  0.500
Sm  0.683  0.183  0.156
Sm  0.817  0.972  0.500
Sm  0.972  0.472  0.156
Ga  0.250  0.250  0.000
Ga  0.750  0.750  0.000
Ge  0.127  0.373  0.500
Ge  0.373  0.873  0.245
Ge  0.627  0.127  0.755
Ge  0.873  0.627  0.500